Computed, not measured: an optimized crystal structure of Ti2AlO4 at the PBE level of DFT.

Unit cell a=5.9094 b=5.9094 c=5.9094 alpha=60.00 beta=60.00 gamma=60.00
Fractional coordinates of all 14 atoms:
1 Ti 0.0000 0.0000 0.0000
2 Ti 0.0000 0.0000 0.5000
3 Ti 0.0000 0.5000 0.0000
4 Ti 0.5000 0.0000 0.0000
5 Al 0.3750 0.3750 0.3750
6 Al 0.6250 0.6250 0.6250
7 O 0.2523 0.2523 0.2523
8 O 0.2523 0.2523 0.7430
9 O 0.2523 0.7430 0.2523
10 O 0.2570 0.7477 0.7477
11 O 0.7430 0.2523 0.2523
12 O 0.7477 0.2570 0.7477
13 O 0.7477 0.7477 0.2570
14 O 0.7477 0.7477 0.7477

Results
Magnetic moment ... 0.0 μB/f.u.
Energy relative to the elements, uncorrected ... -2772 meV per atom
E above lowest polymorph ... 0 meV/atom
Space-group type ... Fd-3m, No. 227
Final energy ... -117.54 eV for the cell shown